Entry 1:
First-principles (GGA-PBE) data for a relaxed BaLaAl2Ge2 crystal, as listed in Alexandria.

Cell lengths 4.328, 4.328, 9.653 Å; angles 90.00, 90.00, 120.00 degrees
Element x y z (fractional)
1 Ge 0.667 0.333 0.728
2 Ge 0.333 0.667 0.272
3 Ba 0.000 0.000 0.000
4 La 0.000 0.000 0.500
5 Al 0.667 0.333 0.266
6 Al 0.333 0.667 0.734

Computed properties:
As for the uncorrected energy: -4.50 eV per atom. The value obtained for the formation enthalpy at 0 K is -55.1 kJ/mol of atoms. The crystal system is trigonal.

***

Entry 2:
First-principles (GGA-PBE) data for a relaxed Ba2LiAl3Ge4 crystal, as listed in Alexandria.

Cell lengths 4.709, 4.709, 10.398 Å; angles 90.00, 90.00, 90.00 degrees
Element x y z (fractional)
1 Ba 0.500 0.000 0.249
2 Ba 0.000 0.500 0.751
3 Al 0.500 0.000 0.879
4 Al 0.000 0.500 0.121
5 Al 0.000 0.000 0.500
6 Ge 0.000 0.500 0.369
7 Ge 0.500 0.500 0.000
8 Ge 0.500 0.000 0.631
9 Ge 0.000 0.000 0.000
10 Li 0.500 0.500 0.500

Computed properties:
As for the uncorrected energy: -3.96 eV per atom. The value obtained for the formation enthalpy at 0 K is -39.7 kJ/mol of atoms. The crystal system is tetragonal.

***

Entry 3:
First-principles (GGA-PBE) data for a relaxed BaLi2Al2Ge2 crystal, as listed in Alexandria.

Cell lengths 4.389, 4.384, 9.224 Å; angles 103.78, 90.00, 120.04 degrees
Element x y z (fractional)
1 Ge 0.751 0.501 0.252
2 Ge 0.249 0.499 0.748
3 Li 0.852 0.704 0.555
4 Li 0.148 0.296 0.445
5 Al 0.448 0.895 0.342
6 Al 0.552 0.105 0.658
7 Ba 0.000 0.000 0.000

Computed properties:
As for the uncorrected energy: -3.63 eV per atom. The value obtained for the formation enthalpy at 0 K is -40.1 kJ/mol of atoms. The crystal system is monoclinic.

***

Entry 4:
First-principles (GGA-PBE) data for a relaxed BaLiAlGe2 crystal, as listed in Alexandria.

Cell lengths 4.567, 4.567, 6.323 Å; angles 111.17, 111.17, 90.00 degrees
Element x y z (fractional)
1 Ge 0.620 0.620 0.241
2 Ge 0.380 0.380 0.759
3 Al 0.750 0.250 0.500
4 Li 0.250 0.750 0.500
5 Ba 0.000 0.000 0.000

Computed properties:
As for the uncorrected energy: -3.81 eV per atom. The value obtained for the formation enthalpy at 0 K is -42.8 kJ/mol of atoms. The crystal system is tetragonal.

***

Entry 5:
First-principles (GGA-PBE) data for a relaxed Ba2MgAl4Ge3 crystal, as listed in Alexandria.

Cell lengths 4.474, 4.474, 12.095 Å; angles 90.00, 90.00, 90.00 degrees
Element x y z (fractional)
1 Al 0.000 0.000 0.000
2 Al 0.000 0.500 0.365
3 Al 0.500 0.000 0.635
4 Al 0.500 0.500 0.000
5 Ba 0.000 0.500 0.755
6 Ba 0.500 0.000 0.245
7 Ge 0.500 0.000 0.877
8 Ge 0.000 0.000 0.500
9 Ge 0.000 0.500 0.123
10 Mg 0.500 0.500 0.500

Computed properties:
As for the uncorrected energy: -3.69 eV per atom. The value obtained for the formation enthalpy at 0 K is -25.5 kJ/mol of atoms. The crystal system is tetragonal.

***

Entry 6:
First-principles (GGA-PBE) data for a relaxed Ba2Mg4AlGe3 crystal, as listed in Alexandria.

Cell lengths 4.670, 4.670, 11.700 Å; angles 90.00, 90.00, 90.00 degrees
Element x y z (fractional)
1 Ba 0.500 0.000 0.249
2 Ba 0.000 0.500 0.751
3 Al 0.500 0.500 0.500
4 Mg 0.500 0.000 0.634
5 Mg 0.000 0.500 0.366
6 Mg 0.500 0.500 0.000
7 Mg 0.000 0.000 0.000
8 Ge 0.000 0.000 0.500
9 Ge 0.000 0.500 0.133
10 Ge 0.500 0.000 0.867

Computed properties:
As for the uncorrected energy: -3.16 eV per atom. The value obtained for the formation enthalpy at 0 K is -36.8 kJ/mol of atoms. The crystal system is tetragonal.

***

Entry 7:
First-principles (GGA-PBE) data for a relaxed Ba2MgAl3Ge4 crystal, as listed in Alexandria.

Cell lengths 4.787, 4.787, 10.405 Å; angles 90.00, 90.00, 90.00 degrees
Element x y z (fractional)
1 Ge 0.000 0.500 0.367
2 Ge 0.500 0.000 0.633
3 Ge 0.500 0.500 0.000
4 Ge 0.000 0.000 0.000
5 Ba 0.000 0.500 0.760
6 Ba 0.500 0.000 0.240
7 Al 0.500 0.000 0.886
8 Al 0.000 0.500 0.114
9 Al 0.000 0.000 0.500
10 Mg 0.500 0.500 0.500

Computed properties:
As for the uncorrected energy: -3.89 eV per atom. The value obtained for the formation enthalpy at 0 K is -36.6 kJ/mol of atoms. The crystal system is tetragonal.

***

Entry 8:
First-principles (GGA-PBE) data for a relaxed BaNa2AlGe2 crystal, as listed in Alexandria.

Cell lengths 4.603, 8.130, 8.616 Å; angles 90.00, 90.00, 90.00 degrees
Element x y z (fractional)
1 Ge 0.500 0.810 0.622
2 Ge 0.500 0.310 0.378
3 Ge 0.000 0.204 0.833
4 Ge 0.000 0.704 0.167
5 Ba 0.000 0.506 0.579
6 Ba 0.000 0.006 0.421
7 Na 0.000 0.345 0.154
8 Na 0.500 0.531 0.942
9 Na 0.500 0.031 0.058
10 Na 0.000 0.845 0.846
11 Al 0.500 0.150 0.678
12 Al 0.500 0.650 0.322

Computed properties:
As for the uncorrected energy: -3.14 eV per atom. The value obtained for the formation enthalpy at 0 K is -21.1 kJ/mol of atoms. The crystal system is orthorhombic.

***

Entry 9:
First-principles (GGA-PBE) data for a relaxed Ba2NaAlGe2 crystal, as listed in Alexandria.

Cell lengths 7.076, 6.664, 8.983 Å; angles 111.77, 113.19, 90.00 degrees
Element x y z (fractional)
1 Na 0.000 0.250 0.000
2 Na 0.000 0.750 0.000
3 Ge 0.609 0.399 0.798
4 Ge 0.189 0.899 0.798
5 Ge 0.811 0.101 0.202
6 Ge 0.391 0.601 0.202
7 Ba 0.906 0.666 0.331
8 Ba 0.575 0.834 0.669
9 Ba 0.425 0.166 0.331
10 Ba 0.094 0.334 0.669
11 Al 0.500 0.750 0.000
12 Al 0.500 0.250 0.000

Computed properties:
As for the uncorrected energy: -3.45 eV per atom. The value obtained for the formation enthalpy at 0 K is -41.1 kJ/mol of atoms. The crystal system is orthorhombic.

***

Entry 10:
First-principles (GGA-PBE) data for a relaxed Ba2Na2AlGe4 crystal, as listed in Alexandria.

Cell lengths 7.005, 7.005, 7.005 Å; angles 87.47, 121.47, 121.47 degrees
Element x y z (fractional)
1 Ba 0.500 0.750 0.250
2 Ba 0.500 0.250 0.750
3 Ge 0.000 0.724 0.276
4 Ge 0.553 0.276 0.276
5 Ge 0.000 0.276 0.724
6 Ge 0.447 0.724 0.724
7 Na 0.000 0.707 0.707
8 Na 0.000 0.293 0.293
9 Al 0.000 0.000 0.000

Computed properties:
As for the uncorrected energy: -3.37 eV per atom. The value obtained for the formation enthalpy at 0 K is -17.3 kJ/mol of atoms. The crystal system is tetragonal.

***

Entry 11:
First-principles (GGA-PBE) data for a relaxed BaAl2GeO crystal, as listed in Alexandria.

Cell lengths 6.319, 5.667, 6.319 Å; angles 90.00, 90.00, 90.00 degrees
Element x y z (fractional)
1 Al 0.500 0.000 0.000
2 Al 0.000 0.000 0.500
3 Ba 0.000 0.000 0.000
4 Ge 0.000 0.500 0.000
5 O 0.500 0.500 0.500

Computed properties:
The value obtained for the uncorrected formation energy is 1.781 eV/atom. As for the uncorrected energy: -2.02 eV per atom. The crystal system is tetragonal.

***

Entry 12:
First-principles (GGA-PBE) data for a relaxed BaAl2Ge2O8 crystal, as listed in Alexandria.

Cell lengths 8.925, 9.672, 9.672 Å; angles 91.02, 97.79, 82.21 degrees
Element x y z (fractional)
1 O 0.991 0.073 0.178
2 O 0.001 0.866 0.368
3 O 0.038 0.355 0.143
4 O 0.893 0.816 0.066
5 O 0.962 0.645 0.857
6 O 0.890 0.437 0.681
7 O 0.715 0.977 0.261
8 O 0.607 0.066 0.816
9 O 0.501 0.632 0.134
10 O 0.999 0.134 0.632
11 O 0.991 0.321 0.425
12 O 0.390 0.319 0.563
13 O 0.712 0.238 0.524
14 O 0.215 0.739 0.023
15 O 0.788 0.524 0.238
16 O 0.610 0.681 0.437
17 O 0.110 0.563 0.319
18 O 0.509 0.425 0.321
19 O 0.393 0.934 0.184
20 O 0.491 0.822 0.927
21 O 0.509 0.178 0.073
22 O 0.009 0.927 0.822
23 O 0.288 0.762 0.476
24 O 0.499 0.368 0.866
25 O 0.462 0.143 0.355
26 O 0.285 0.023 0.739
27 O 0.009 0.679 0.575
28 O 0.107 0.184 0.934
29 O 0.212 0.476 0.762
30 O 0.538 0.857 0.645
31 O 0.491 0.575 0.679
32 O 0.785 0.261 0.977
33 Ge 0.395 0.792 0.069
34 Ge 0.976 0.444 0.291
35 Ge 0.105 0.069 0.792
36 Ge 0.024 0.556 0.709
37 Ge 0.895 0.931 0.208
38 Ge 0.524 0.291 0.444
39 Ge 0.476 0.709 0.556
40 Ge 0.605 0.208 0.931
41 Al 0.608 0.567 0.294
42 Al 0.108 0.706 0.433
43 Al 0.527 0.055 0.208
44 Al 0.473 0.945 0.792
45 Al 0.973 0.208 0.055
46 Al 0.392 0.433 0.706
47 Al 0.892 0.294 0.567
48 Al 0.027 0.792 0.945
49 Ba 0.211 0.065 0.434
50 Ba 0.711 0.566 0.935
51 Ba 0.289 0.434 0.065
52 Ba 0.789 0.935 0.566

Computed properties:
The value obtained for the uncorrected formation energy is -2.472 eV/atom. As for the uncorrected energy: -6.96 eV per atom. The crystal system is monoclinic.